Record 1
Cr2ReTe: single point on PBEsol structure, SCAN.

a b c (Å): 3.9168 3.9168 7.5450
angles (deg): 90.00 90.00 90.00
With the nearest neighbours (Å) after each atom.
Space group I4/mmm (No. 139)
Unique sites:
Cr: 0.0000 0.5000 0.2500  4 Re 2.72, 4 Te 2.72, 4 Cr 2.77
Re: 0.0000 0.0000 0.0000  8 Cr 2.72, 4 Te 2.77
Te: 0.0000 0.0000 0.5000  8 Cr 2.72, 4 Re 2.77

Calculated values
final energy: -35.807 eV/atom

***

Record 2
Li3Ni8O16: single point on PBEsol structure, SCAN.

a b c (Å): 4.9018 6.4294 8.5149
angles (deg): 95.18 95.59 97.33
With the nearest neighbours (Å) after each atom.
Space group P-1 (No. 2)
Unique sites:
Li: 0.0000 0.0000 0.0000  6 O 2.07-2.18
Li: 0.4964 0.3583 0.6414  6 O 2.05-2.27
Ni: 0.2471 0.9330 0.5616  6 O 1.87-1.92
Ni: 0.2491 0.6846 0.8106  6 O 1.85-2.03
Ni: 0.2500 0.4383 0.0620  6 O 1.85-1.89
Ni: 0.2508 0.1873 0.3121  6 O 1.85-1.89
O: 0.1109 0.9293 0.7616  3 Ni 1.86-1.89
O: 0.1115 0.6872 0.0075  3 Ni 1.87-1.89
O: 0.1276 0.1863 0.5135  3 Ni 1.87-1.92
O: 0.1462 0.4446 0.2659  3 Ni 1.85-2.03, 1 Li 2.07
O: 0.3582 0.1832 0.1096  3 Ni 1.85-2.03
O: 0.3864 0.9364 0.3648  3 Ni 1.87-1.90, 1 Li 2.05
O: 0.3872 0.4411 0.8620  3 Ni 1.85-1.89, 1 Li 2.05
O: 0.3916 0.6844 0.6110  3 Ni 1.87-1.90

Calculated values
final energy: -10.047 eV/atom

***

Record 3
BaZrTc: single point on PBEsol structure, SCAN.

a b c (Å): 3.4089 3.4089 13.2869
angles (deg): 90.00 90.00 90.00
With the nearest neighbours (Å) after each atom.
Space group I4mm (No. 107)
Unique sites:
Ba: 0.0000 0.0000 0.0000  4 Tc 3.33, 4 Ba 3.41, 1 Zr 3.50
Zr: 0.0000 0.0000 0.7365  4 Tc 2.70
Tc: 0.0000 0.0000 0.3272  4 Zr 2.70

Calculated values
formation energy from the elements: 0.351 eV/atom

***

Record 4
BaH16O10: single point on PBEsol structure, SCAN.

a b c (Å): 8.7783 8.7761 11.2891
angles (deg): 90.00 90.34 90.00
With the nearest neighbours (Å) after each atom.
Space group Cc (No. 9)
Unique sites:
Ba: 0.0000 0.0012 0.0000  8 O 2.78-2.79
H: 0.0268 0.2325 0.7770  1 O 1.00
H: 0.0267 0.2344 0.2225  1 O 1.00
H: 0.0534 0.3435 0.1116  1 O 1.02
H: 0.0559 0.3404 0.8883  1 O 1.02
H: 0.1569 0.4388 0.6088  1 O 1.03
H: 0.1589 0.4459 0.3872  1 O 1.02
H: 0.2322 0.0253 0.7251  1 O 1.00
H: 0.2458 0.2076 0.3442  1 O 1.00
H: 0.2537 0.2943 0.6559  1 O 1.00
H: 0.2654 0.4745 0.2752  1 O 1.00
H: 0.2926 0.2563 0.1571  1 O 1.00
H: 0.2975 0.2561 0.8418  1 O 1.00
H: 0.3381 0.0537 0.6129  1 O 1.02
H: 0.3400 0.0611 0.3909  1 O 1.02
H: 0.4378 0.1626 0.1097  1 O 1.02
H: 0.4418 0.1596 0.8887  1 O 1.03
O: 0.0868 0.2416 0.1474  2 H 1.00-1.02
O: 0.0891 0.2395 0.8516  2 H 1.00-1.02
O: 0.2371 0.0949 0.3567  2 H 1.00-1.02
O: 0.2378 0.0867 0.6504  2 H 1.00-1.02
O: 0.2601 0.4141 0.3505  2 H 1.00-1.02
O: 0.2606 0.4070 0.6431  2 H 1.00-1.03
O: 0.4056 0.2642 0.1461  2 H 1.00-1.02
O: 0.4105 0.2625 0.8532  2 H 1.00-1.03
O: 0.4978 0.0013 0.9348  1 O 1.47, 4 H 1.56-1.59
O: 0.4983 0.0035 0.0646  1 O 1.47, 4 H 1.56-1.59

Calculated values
final energy: -6.990 eV/atom

***

Record 5
YTlAs2: single point on PBEsol structure, SCAN.

a b c (Å): 4.1387 4.1387 20.0198
angles (deg): 90.00 90.00 120.00
With the nearest neighbours (Å) after each atom.
Space group R-3m (No. 166, hexagonal axes)
Unique sites:
Y: 0.0000 0.0000 0.0000  6 As 2.88
Tl: 0.0000 0.0000 0.5000  6 As 2.95
As: 0.0000 0.0000 0.2533  3 Y 2.88, 3 Tl 2.95

Calculated values
formation energy from the elements: -0.523 eV/atom

***

Record 6
Tl2BiOsBr: single point on PBEsol structure, SCAN.

a b c (Å): 5.4487 5.4487 4.6224
angles (deg): 90.00 90.00 90.00
With the nearest neighbours (Å) after each atom.
Space group P4/mmm (No. 123)
Unique sites:
Tl: 0.0000 0.5000 0.0000  2 Os 2.72
Bi: 0.0000 0.0000 0.5000  8 Tl 3.57, 4 Br 3.85
Os: 0.5000 0.5000 0.0000  2 Br 2.31
Br: 0.5000 0.5000 0.5000  2 Os 2.31

Calculated values
final energy: -62.185 eV/atom

***

Record 7
ScCu2Ir: single point on PBEsol structure, SCAN.

a b c (Å): 2.7221 2.7221 26.4331
angles (deg): 90.00 90.00 120.00
With the nearest neighbours (Å) after each atom.
Space group R-3m (No. 166, hexagonal axes)
Unique sites:
Sc: 0.0000 0.0000 0.0000  6 Sc 2.72, 6 Cu 2.78
Cu: 0.0000 0.0000 0.2464  3 Ir 2.63, 6 Cu 2.72, 3 Sc 2.78
Ir: 0.0000 0.0000 0.5000  6 Cu 2.63, 6 Ir 2.72

Calculated values
formation energy from the elements: 0.224 eV/atom

***

Record 8
TaZn2SnI: single point on PBEsol structure, SCAN.

a b c (Å): 4.9809 4.9809 5.7319
angles (deg): 90.00 90.00 90.00
With the nearest neighbours (Å) after each atom.
Space group P4/mmm (No. 123)
Unique sites:
Ta: 0.0000 0.0000 0.0000  4 Sn 3.52, 8 Zn 3.80
Zn: 0.0000 0.5000 0.5000  2 I 2.49
Sn: 0.5000 0.5000 0.0000  2 I 2.87
I: 0.5000 0.5000 0.5000  4 Zn 2.49

Calculated values
final energy: -31.409 eV/atom

***

Record 9
Hf5Si3: single point on PBEsol structure, SCAN.

a b c (Å): 7.8124 7.8124 5.4325
angles (deg): 90.00 90.00 120.00
With the nearest neighbours (Å) after each atom.
Space group P6_3/mcm (No. 193)
Unique sites:
Hf: 0.0000 0.2521 0.2500  5 Si 2.68-2.93
Hf: 0.3333 0.6667 0.0000  2 Hf 2.72, 6 Si 2.77
Si: 0.0000 0.3914 0.7500  9 Hf 2.68-2.93

Calculated values
final energy: -43.679 eV/atom

***

Record 10
CsNbH2: single point on PBEsol structure, SCAN.

a b c (Å): 6.5582 6.5582 6.5582
angles (deg): 90.00 90.00 90.00
With the nearest neighbours (Å) after each atom.
Space group Fm-3m (No. 225)
Unique sites:
Cs: 0.0000 0.0000 0.0000  8 H 2.84
Nb: 0.0000 0.0000 0.5000  8 H 2.84
H: 0.2500 0.2500 0.2500  4 Cs 2.84, 4 Nb 2.84

Calculated values
final energy: -18.164 eV/atom

***

Record 11
YBePb: single point on PBEsol structure, SCAN.

a b c (Å): 3.3834 3.3834 11.2823
angles (deg): 90.00 90.00 90.00
With the nearest neighbours (Å) after each atom.
Space group I4mm (No. 107)
Unique sites:
Y: 0.0000 0.0000 0.0000  4 Be 2.97, 1 Pb 3.24
Be: 0.0000 0.0000 0.6564  4 Pb 2.81, 4 Y 2.97
Pb: 0.0000 0.0000 0.2873  4 Be 2.81

Calculated values
formation energy from the elements: -0.024 eV/atom

***

Record 12
K2PAu: single point on PBEsol structure, SCAN.

a b c (Å): 4.4463 5.2759 10.4231
angles (deg): 90.00 90.00 90.00
With the nearest neighbours (Å) after each atom.
Space group Amm2 (No. 38)
Unique sites:
K: 0.0000 0.0000 0.0000  3 P 3.26-3.29
K: 0.5000 0.0000 0.3022  3 Au 3.26-3.30
P: 0.0000 0.0000 0.6842  2 Au 2.33
Au: 0.5000 0.0000 0.6184  2 P 2.33

Calculated values
formation energy from the elements: -0.580 eV/atom

***

Record 13
ZnCuIrW2: single point on PBEsol structure, SCAN.

a b c (Å): 4.4644 4.4644 4.1013
angles (deg): 90.00 90.00 90.00
With the nearest neighbours (Å) after each atom.
Space group P4/mmm (No. 123)
Unique sites:
Zn: 0.0000 0.0000 0.0000  2 Cu 2.05
Cu: 0.0000 0.0000 0.5000  2 Zn 2.05, 4 W 2.23
Ir: 0.5000 0.5000 0.0000  8 W 3.03, 4 Zn 3.16
W: 0.0000 0.5000 0.5000  2 Cu 2.23

Calculated values
formation energy from the elements: 1.597 eV/atom

***

Record 14
ScPbSeBr2: single point on PBEsol structure, SCAN.

a b c (Å): 5.1606 5.1606 5.2007
angles (deg): 90.00 90.00 90.00
With the nearest neighbours (Å) after each atom.
Space group P4/mmm (No. 123)
Unique sites:
Sc: 0.0000 0.0000 0.0000  4 Br 2.58, 2 Se 2.60
Pb: 0.5000 0.5000 0.5000  4 Se 3.65, 8 Br 3.66
Se: 0.0000 0.0000 0.5000  2 Sc 2.60
Br: 0.0000 0.5000 0.0000  2 Sc 2.58

Calculated values
final energy: -30.816 eV/atom

***

Record 15
Al2PbAu2: single point on PBEsol structure, SCAN.

a b c (Å): 4.1029 4.1029 11.7857
angles (deg): 90.00 90.00 90.00
With the nearest neighbours (Å) after each atom.
Space group I4/mmm (No. 139)
Unique sites:
Al: 0.0000 0.5000 0.2500  4 Au 2.56
Pb: 0.0000 0.0000 0.0000  8 Au 3.23, 8 Al 3.59
Au: 0.0000 0.0000 0.3802  4 Al 2.56, 1 Au 2.82

Calculated values
formation energy from the elements: -0.408 eV/atom

***

Record 16
Sr4MnN4: single point on PBEsol structure, SCAN.

a b c (Å): 6.1206 6.6130 8.9286
angles (deg): 106.00 96.62 95.57
With the nearest neighbours (Å) after each atom.
Space group P-1 (No. 2)
Unique sites:
Sr: 0.2299 0.4714 0.3675  5 N 2.56-2.86
Sr: 0.2555 0.3694 0.9006  3 N 2.51-2.53
Sr: 0.2600 0.0748 0.5435  3 N 2.48-2.57
Sr: 0.2619 0.9714 0.1029  4 N 2.54-2.76
Mn: 0.2952 0.7243 0.7351  4 N 1.74-1.77
N: 0.0910 0.8961 0.7754  1 Mn 1.77
N: 0.1807 0.4600 0.6462  1 Mn 1.74
N: 0.4611 0.7231 0.9084  1 Mn 1.75
N: 0.4743 0.8075 0.6159  1 Mn 1.76

Calculated values
final energy: -16.879 eV/atom

***

Record 17
LiSiTc2: single point on PBEsol structure, SCAN.

a b c (Å): 3.0501 4.0286 4.1792
angles (deg): 90.00 90.00 90.00
With the nearest neighbours (Å) after each atom.
Space group Pmmm (No. 47)
Unique sites:
Li: 0.0000 0.0000 0.0000  4 Tc 2.53, 4 Si 2.59
Si: 0.5000 0.0000 0.5000  4 Tc 2.53, 4 Li 2.59
Tc: 0.0000 0.5000 0.5000  4 Si 2.53, 4 Tc 2.59
Tc: 0.5000 0.5000 0.0000  4 Li 2.53, 4 Tc 2.59

Calculated values
final energy: -20.634 eV/atom

***

Record 18
CaCuF4: single point on PBEsol structure, SCAN.

a b c (Å): 5.3807 5.3807 10.2306
angles (deg): 90.00 90.00 90.00
With the nearest neighbours (Å) after each atom.
Space group I4/mcm (No. 140)
Unique sites:
Ca: 0.0000 0.0000 0.2500  8 F 2.34
Cu: 0.0000 0.5000 0.0000  4 F 1.89
F: 0.1788 0.3212 0.1284  1 Cu 1.89

Calculated values
final energy: -9.541 eV/atom

***

Record 19
BaMnO3: single point on PBEsol structure, SCAN.

a b c (Å): 5.5947 5.5947 13.5870
angles (deg): 90.00 90.00 120.00
With the nearest neighbours (Å) after each atom.
Space group P6_3/mmc (No. 194)
Unique sites:
Ba: 0.0000 0.0000 0.2500  12 O 2.80-2.81
Ba: 0.3333 0.6667 0.0901  12 O 2.80-2.84
Mn: 0.0000 0.0000 0.0000  6 O 1.94
Mn: 0.3333 0.6667 0.6556  6 O 1.90-1.92
O: 0.0428 0.5214 0.7500  2 Mn 1.90
O: 0.1647 0.3295 0.5809  2 Mn 1.92-1.94

Calculated values
final energy: -17.915 eV/atom

***

Record 20
Sc2RuCl: single point on PBEsol structure, SCAN.

a b c (Å): 3.6965 3.6965 5.2729
angles (deg): 90.00 90.00 90.00
With the nearest neighbours (Å) after each atom.
Space group P4mm (No. 99)
Unique sites:
Sc: 0.0000 0.0000 0.0000  4 Ru 2.61, 2 Cl 2.64
Sc: 0.5000 0.5000 0.4922  2 Ru 2.60-2.67, 4 Cl 2.61
Ru: 0.5000 0.5000 0.9984  6 Sc 2.60-2.67
Cl: 0.0000 0.0000 0.5002  6 Sc 2.61-2.64

Calculated values
final energy: -18.563 eV/atom